20
Lattice="-0.428 -5.606 -0.737 4.104 2.069 3.371 -3.057 -1.014 9.355" Properties=species:S:1:pos:R:3 comment="Sr2FeWO6 (GGA+U, relaxed)" m_tot_mub_per_cell=8.000 dft_energy_ev_per_cell=-139.83 pbc="T T T"
O -1.403 -3.766 6.131
O 2.611 -1.912 3.265
Sr 0.410 -3.098 1.485
W 0.001 -0.019 0.014
Fe 1.198 -0.635 3.804
Fe -0.577 -3.927 8.158
W 2.360 -1.223 7.659
O 0.757 -2.283 7.659
O -0.677 -4.862 3.748
O 0.409 -0.504 1.988
O 0.225 -4.079 10.106
Sr 1.591 -3.730 5.379
O -2.074 -2.674 8.753
Sr -1.010 -0.799 6.612
O 2.019 -0.750 5.771
O 1.359 0.361 8.195
O -0.103 -2.169 4.271
O -1.863 -5.604 8.599
O 2.442 0.971 3.509
Sr 0.249 -1.498 10.478